Material: TcWO3
Method: DFT, PBE with a Hubbard U
State: optimized geometry

Lattice parameters (Å, degrees): 3.9151 3.9151 3.9151 90.00 90.00 90.00
Element x y z (fractional)
Tc: 0.0000 0.0000 0.0000
W: 0.5000 0.5000 0.5000
O: 0.0000 0.0000 0.5000
O: 0.0000 0.5000 0.0000
O: 0.5000 0.0000 0.0000

Calculated values
Spin magnetization: 4.1 μB/cell
D(E_F): 0.806 states/eV/atom


Material: Li2Ta2W2O13
Method: DFT, PBE with a Hubbard U
State: optimized geometry

Lattice parameters (Å, degrees): 7.4186 7.4186 7.4186 120.22 119.78 90.00
Element x y z (fractional)
Li: 0.0000 0.2348 0.2348
Li: 0.0000 0.7652 0.7652
Ta: 0.0616 0.8156 0.2460
Ta: 0.5696 0.8156 0.7540
W: 0.5660 0.3146 0.7486
W: 0.5660 0.8175 0.2514
O: 0.0514 0.5514 0.5000
O: 0.2595 0.7595 0.5000
O: 0.2598 0.1390 0.4988
O: 0.2598 0.7610 0.1208
O: 0.5122 0.5122 0.0000
O: 0.5166 0.5093 0.6349
O: 0.5166 0.8817 0.0074
O: 0.6257 0.1257 0.5000
O: 0.6402 0.1390 0.8792
O: 0.6402 0.7610 0.5012
O: 0.8743 0.5093 0.9926
O: 0.8743 0.8817 0.3651
O: 0.8974 0.8974 0.0000

Calculated values
Spin magnetization: 2.0 μB/cell


| no. | calculated total energy (eV per atom) |
| --- | --- |
| 1 | -6.81 |
| 2 | -7.71 |